# NbVCrRu

A relaxed NbVCrRu crystal (PBE, Alexandria).

Unit cell a=4.328 b=4.328 c=4.328 alpha=60.00 beta=60.00 gamma=60.00
Sites, in units of the cell vectors:
Ru1 0.000 0.000 0.000
Nb1 0.750 0.750 0.750
V1 0.250 0.250 0.250
Cr1 0.500 0.500 0.500

- ΔE_f (meV/atom) = -161
- E above lowest polymorph (eV/f.u.) = 0.12
- volume (Å³/cell) = 57.3
- VASP energy (eV per cell) = -38.7
- DOS(E_F) (states/eV per atom) = 0.55

=====

# TbBPt6

A relaxed TbBPt6 crystal (PBE, Alexandria).

Unit cell a=5.590 b=5.590 c=6.061 alpha=62.54 beta=62.54 gamma=60.00
Sites, in units of the cell vectors:
Tb1 0.500 0.500 0.500
B1 0.000 0.000 0.000
Pt1 0.906 0.906 0.760
Pt2 0.427 0.906 0.760
Pt3 0.094 0.573 0.240
Pt4 0.573 0.094 0.240
Pt5 0.094 0.094 0.240
Pt6 0.906 0.427 0.760

- ΔE_f (meV/atom) = -558
- volume (Å³/cell) = 138.9
- VASP energy (eV per cell) = -52.0
- DOS(E_F) (states/eV per atom) = 0.62

=====

# ScGe2Sb2

A relaxed ScGe2Sb2 crystal (PBE, Alexandria).

Unit cell a=7.629 b=7.629 c=4.183 alpha=90.00 beta=90.00 gamma=90.00
Sites, in units of the cell vectors:
Sc1 0.000 0.000 0.000
Sc2 0.500 0.500 0.000
Sb1 0.350 0.850 0.000
Sb2 0.850 0.650 0.000
Sb3 0.650 0.150 0.000
Sb4 0.150 0.350 0.000
Ge1 0.164 0.664 0.500
Ge2 0.664 0.836 0.500
Ge3 0.836 0.336 0.500
Ge4 0.336 0.164 0.500

- E above lowest polymorph (eV/f.u.) = 0.41
- volume (Å³/cell) = 243.5
- VASP energy (eV per cell) = -47.6
- raw formation energy (meV per atom) = 1
- DOS(E_F) (states/eV per atom) = 0.99

=====

# YTl2Ni

A relaxed YTl2Ni crystal (PBE, Alexandria).

Unit cell a=5.876 b=5.876 c=5.876 alpha=45.01 beta=45.01 gamma=45.01
Sites, in units of the cell vectors:
Ni1 0.750 0.750 0.750
Tl1 0.025 0.025 0.025
Tl2 0.475 0.475 0.475
Y1 0.250 0.250 0.250

- ΔE_f (meV/atom) = -70
- volume (Å³/cell) = 92.3
- VASP energy (eV per cell) = -17.3
- DOS(E_F) (states/eV per atom) = 0.34

=====

# Ag2Te2Se

A relaxed Ag2Te2Se crystal (PBE, Alexandria).

Unit cell a=4.629 b=7.948 c=9.551 alpha=76.25 beta=53.46 gamma=76.06
Sites, in units of the cell vectors:
Ag1 0.789 0.338 0.123
Ag2 0.625 0.947 0.828
Ag3 0.375 0.053 0.172
Ag4 0.211 0.662 0.877
Te1 0.278 0.701 0.133
Te2 0.856 0.326 0.389
Te3 0.722 0.299 0.867
Te4 0.144 0.674 0.611
Se1 0.637 0.880 0.365
Se2 0.363 0.120 0.635

- E above lowest polymorph (eV/f.u.) = 0.02
- volume (Å³/cell) = 272.0
- VASP energy (eV per cell) = -30.7
- raw formation energy (meV per atom) = 22
- DOS(E_F) (states/eV per atom) = 0.32

=====

# CaV3Br

A relaxed CaV3Br crystal (PBE, Alexandria).

Unit cell a=4.671 b=4.671 c=4.671 alpha=90.00 beta=90.00 gamma=90.00
Sites, in units of the cell vectors:
Ca1 0.000 0.000 0.000
Br1 0.500 0.500 0.500
V1 0.000 0.500 0.000
V2 0.000 0.000 0.500
V3 0.500 0.000 0.000

- E above lowest polymorph (eV/f.u.) = 7.48
- volume (Å³/cell) = 101.9
- VASP energy (eV per cell) = -19.0
- raw formation energy (meV per atom) = 2412
- DOS(E_F) (states/eV per atom) = 1.47

=====

# SrHoAgAu

A relaxed SrHoAgAu crystal (PBE, Alexandria).

Unit cell a=5.256 b=5.256 c=5.256 alpha=60.00 beta=60.00 gamma=60.00
Sites, in units of the cell vectors:
Sr1 0.500 0.500 0.500
Au1 0.750 0.750 0.750
Ho1 0.000 0.000 0.000
Ag1 0.250 0.250 0.250

- ΔE_f (meV/atom) = -462
- volume (Å³/cell) = 102.7
- VASP energy (eV per cell) = -14.2
- DOS(E_F) (states/eV per atom) = 0.78

=====

# SrHoBr5

A relaxed SrHoBr5 crystal (PBE, Alexandria).

Unit cell a=7.475 b=7.475 c=10.678 alpha=106.61 beta=106.61 gamma=90.87
Sites, in units of the cell vectors:
Sr1 0.923 0.577 0.250
Sr2 0.077 0.423 0.750
Ho1 0.000 0.000 0.000
Ho2 0.500 0.500 0.500
Br1 0.778 0.896 0.136
Br2 0.795 0.290 0.460
Br3 0.396 0.278 0.636
Br4 0.226 0.274 0.250
Br5 0.210 0.705 0.040
Br6 0.790 0.295 0.960
Br7 0.774 0.726 0.750
Br8 0.604 0.722 0.364
Br9 0.205 0.710 0.540
Br10 0.222 0.104 0.864

- volume (Å³/cell) = 544.8
- VASP energy (eV per cell) = -56.0
- raw formation energy (meV per atom) = -1909
- DOS(E_F) (states/eV per atom) = 0.00

=====

# LaCeBr4

A relaxed LaCeBr4 crystal (PBE, Alexandria).

Unit cell a=4.048 b=7.168 c=7.839 alpha=107.09 beta=90.00 gamma=90.00
Site moments in Bohr magnetons follow the coordinates.
Sites, in units of the cell vectors:
La1 0.000 0.500 0.500  0.15
Ce1 0.500 0.000 0.500  1.25
Br1 0.000 0.248 0.751  0.00
Br2 0.000 0.752 0.249  0.00
Br3 0.500 0.755 0.754  0.00
Br4 0.500 0.245 0.246  0.00

- E above lowest polymorph (eV/f.u.) = 0.00
- volume (Å³/cell) = 217.4
- VASP energy (eV per cell) = -27.6
- raw formation energy (meV per atom) = -1673
- DOS(E_F) (states/eV per atom) = 1.36

=====

# Tb3DyTh3

A relaxed Tb3DyTh3 crystal (PBE, Alexandria).

Unit cell a=5.855 b=9.467 c=9.466 alpha=120.00 beta=90.00 gamma=90.00
Sites, in units of the cell vectors:
Tb1 0.250 0.530 0.622
Tb2 0.250 0.091 0.470
Tb3 0.250 0.378 0.909
Tb4 0.750 0.470 0.378
Tb5 0.750 0.909 0.530
Tb6 0.750 0.622 0.091
Dy1 0.750 0.333 0.667
Dy2 0.250 0.667 0.333
Th1 0.750 0.766 0.814
Th2 0.750 0.048 0.234
Th3 0.750 0.186 0.953
Th4 0.250 0.234 0.186
Th5 0.250 0.952 0.766
Th6 0.250 0.814 0.047

- ΔE_f (meV/atom) = 43
- E above lowest polymorph (eV/f.u.) = 0.00
- volume (Å³/cell) = 454.4
- VASP energy (eV per cell) = -80.9
- DOS(E_F) (states/eV per atom) = 1.48

=====

# Nd2Ti2ZnRh5

A relaxed Nd2Ti2ZnRh5 crystal (PBE, Alexandria).

Unit cell a=3.152 b=10.656 c=10.656 alpha=90.00 beta=90.00 gamma=90.00
Sites, in units of the cell vectors:
Nd1 0.000 0.675 0.175
Nd2 0.000 0.325 0.825
Nd3 0.000 0.175 0.325
Nd4 0.000 0.825 0.675
Ti1 0.000 0.134 0.634
Ti2 0.000 0.866 0.366
Ti3 0.000 0.634 0.866
Ti4 0.000 0.366 0.134
Zn1 0.000 0.000 0.000
Zn2 0.000 0.500 0.500
Rh1 0.500 0.198 0.052
Rh2 0.500 0.802 0.948
Rh3 0.500 0.052 0.802
Rh4 0.500 0.698 0.448
Rh5 0.500 0.948 0.198
Rh6 0.500 0.302 0.552
Rh7 0.500 0.552 0.698
Rh8 0.500 0.448 0.302
Rh9 0.500 0.500 0.000
Rh10 0.500 0.000 0.500

- ΔE_f (meV/atom) = -494
- volume (Å³/cell) = 358.0
- VASP energy (eV per cell) = -136.6
- DOS(E_F) (states/eV per atom) = 0.67

=====

# K3TmSc2Se6

A relaxed K3TmSc2Se6 crystal (PBE, Alexandria).

Unit cell a=7.037 b=7.037 c=7.987 alpha=98.45 beta=98.45 gamma=120.00
Sites, in units of the cell vectors:
K1 0.165 0.835 0.500
K2 0.835 0.165 0.500
K3 0.500 0.500 0.500
Tm1 0.000 0.000 0.000
Sc1 0.333 0.667 0.000
Sc2 0.667 0.333 0.000
Se1 0.934 0.592 0.802
Se2 0.724 0.724 0.198
Se3 0.066 0.408 0.198
Se4 0.592 0.934 0.802
Se5 0.276 0.276 0.802
Se6 0.408 0.066 0.198

- volume (Å³/cell) = 327.4
- VASP energy (eV per cell) = -61.3
- raw formation energy (meV per atom) = -1662
- DOS(E_F) (states/eV per atom) = 0.00

=====

# SrYP2

A relaxed SrYP2 crystal (PBE, Alexandria).

Unit cell a=4.138 b=4.138 c=7.406 alpha=73.74 beta=73.74 gamma=60.12
Sites, in units of the cell vectors:
P1 0.009 0.009 0.972
P2 0.491 0.491 0.528
Sr1 0.250 0.250 0.250
Y1 0.750 0.750 0.750

- ΔE_f (meV/atom) = -1161
- E above lowest polymorph (eV/f.u.) = 0.00
- volume (Å³/cell) = 104.1
- VASP energy (eV per cell) = -23.6
- DOS(E_F) (states/eV per atom) = 0.96

=====

# SbCl

A relaxed SbCl crystal (PBE, Alexandria).

Unit cell a=6.602 b=8.684 c=9.845 alpha=90.00 beta=90.00 gamma=90.00
Sites, in units of the cell vectors:
Sb1 0.037 0.581 0.938
Sb2 0.537 0.919 0.062
Sb3 0.963 0.081 0.562
Sb4 0.463 0.419 0.438
Sb5 0.486 0.610 0.961
Sb6 0.986 0.890 0.039
Sb7 0.514 0.110 0.539
Sb8 0.014 0.390 0.461
Cl1 0.454 0.388 0.182
Cl2 0.954 0.112 0.818
Cl3 0.546 0.888 0.318
Cl4 0.046 0.612 0.682
Cl5 0.513 0.820 0.780
Cl6 0.013 0.680 0.220
Cl7 0.487 0.320 0.720
Cl8 0.987 0.180 0.280

- E above lowest polymorph (eV/f.u.) = 0.02
- volume (Å³/cell) = 564.5
- VASP energy (eV per cell) = -55.2
- raw formation energy (meV per atom) = -464

=====

# SiOsO2F

A relaxed SiOsO2F crystal (PBE, Alexandria).

Unit cell a=3.675 b=3.675 c=6.224 alpha=90.00 beta=90.00 gamma=90.00
Sites, in units of the cell vectors:
Si1 0.500 0.500 0.500
Os1 0.000 0.000 0.000
O1 0.000 0.500 0.000
O2 0.500 0.000 0.000
F1 0.000 0.000 0.500

- volume (Å³/cell) = 84.0
- VASP energy (eV per cell) = -30.3
- raw formation energy (meV per atom) = -380
- DOS(E_F) (states/eV per atom) = 0.59

=====

# KNa16In12

A relaxed KNa16In12 crystal (PBE, Alexandria).

Unit cell a=10.276 b=10.276 c=10.261 alpha=109.15 beta=109.15 gamma=109.23
Sites, in units of the cell vectors:
K1 0.582 0.582 0.268
Na1 0.330 0.330 0.336
Na2 0.999 0.999 0.998
Na3 0.999 0.999 0.651
Na4 0.312 0.312 0.722
Na5 0.689 0.401 0.991
Na6 0.590 0.283 0.591
Na7 0.006 0.691 0.412
Na8 0.004 0.656 0.005
Na9 0.723 0.310 0.314
Na10 0.411 0.999 0.688
Na11 0.999 0.411 0.688
Na12 0.310 0.723 0.314
Na13 0.656 0.004 0.005
Na14 0.691 0.006 0.412
Na15 0.283 0.590 0.591
Na16 0.401 0.689 0.991
In1 0.829 0.829 0.188
In2 0.633 0.633 0.825
In3 0.361 0.173 0.990
In4 0.821 0.634 0.642
In5 0.191 0.004 0.374
In6 0.372 0.001 0.187
In7 0.182 0.812 0.812
In8 0.812 0.182 0.812
In9 0.001 0.372 0.187
In10 0.004 0.191 0.374
In11 0.634 0.821 0.642
In12 0.173 0.361 0.990

- ΔE_f (meV/atom) = -107
- volume (Å³/cell) = 843.2
- VASP energy (eV per cell) = -58.2
- DOS(E_F) (states/eV per atom) = 0.41

=====

# MgHSN2

A relaxed MgHSN2 crystal (PBE, Alexandria).

Unit cell a=4.160 b=4.160 c=5.262 alpha=90.00 beta=90.00 gamma=90.00
Site moments in Bohr magnetons follow the coordinates.
Sites, in units of the cell vectors:
H1 0.500 0.500 0.500  0.27
S1 0.000 0.000 0.500  -0.49
Mg1 0.000 0.000 0.000  -0.01
N1 0.000 0.500 0.000  1.39
N2 0.500 0.000 0.000  1.39

- E above lowest polymorph (eV/f.u.) = 2.83
- volume (Å³/cell) = 91.1
- VASP energy (eV per cell) = -16.0
- DOS(E_F) (states/eV per atom) = 0.69

=====

# MnInTc

A relaxed MnInTc crystal (PBE, Alexandria).

Unit cell a=5.832 b=5.832 c=2.914 alpha=75.53 beta=75.54 gamma=28.93
Site moments in Bohr magnetons follow the coordinates.
Sites, in units of the cell vectors:
In1 0.995 0.995 0.005  0.00
Mn1 0.314 0.314 0.686  0.47
Tc1 0.691 0.691 0.309  -0.16

- ΔE_f (meV/atom) = 171
- E above lowest polymorph (eV/f.u.) = 0.00
- volume (Å³/cell) = 46.3
- VASP energy (eV per cell) = -21.8
- DOS(E_F) (states/eV per atom) = 0.71

=====

# Co4Ir2Rh3

A relaxed Co4Ir2Rh3 crystal (PBE, Alexandria).

Unit cell a=2.677 b=7.075 c=7.037 alpha=115.20 beta=100.96 gamma=90.00
Site moments in Bohr magnetons follow the coordinates.
Sites, in units of the cell vectors:
Co1 0.814 0.657 0.628  1.82
Co2 0.186 0.343 0.372  1.82
Co3 0.479 0.664 0.958  1.82
Co4 0.521 0.336 0.042  1.82
Ir1 0.668 0.008 0.335  0.21
Ir2 0.332 0.992 0.665  0.21
Rh1 0.858 0.345 0.715  0.53
Rh2 0.142 0.655 0.285  0.53
Rh3 0.000 0.000 0.000  0.44

- ΔE_f (meV/atom) = 52
- E above lowest polymorph (eV/f.u.) = 0.00
- volume (Å³/cell) = 117.9
- VASP energy (eV per cell) = -67.7
- DOS(E_F) (states/eV per atom) = 1.34

=====

# Sr2Ni2Ir

A relaxed Sr2Ni2Ir crystal (PBE, Alexandria).

Unit cell a=6.671 b=6.671 c=4.623 alpha=90.00 beta=90.00 gamma=90.00
Site moments in Bohr magnetons follow the coordinates.
Sites, in units of the cell vectors:
Sr1 0.186 0.686 0.500  -0.01
Sr2 0.686 0.814 0.500  -0.01
Sr3 0.814 0.314 0.500  -0.01
Sr4 0.314 0.186 0.500  -0.01
Ir1 0.000 0.000 0.000  0.27
Ir2 0.500 0.500 0.000  0.27
Ni1 0.374 0.874 0.000  0.31
Ni2 0.874 0.626 0.000  0.23
Ni3 0.626 0.126 0.000  0.31
Ni4 0.126 0.374 0.000  0.23

- ΔE_f (meV/atom) = 63
- E above lowest polymorph (eV/f.u.) = 1.01
- volume (Å³/cell) = 205.7
- VASP energy (eV per cell) = -46.9
- DOS(E_F) (states/eV per atom) = 0.54

=====

# MgGaReMo

A relaxed MgGaReMo crystal (PBE, Alexandria).

Unit cell a=4.429 b=4.429 c=4.429 alpha=60.00 beta=60.00 gamma=60.00
Sites, in units of the cell vectors:
Re1 0.000 0.000 0.000
Mo1 0.750 0.750 0.750
Mg1 0.500 0.500 0.500
Ga1 0.250 0.250 0.250

- ΔE_f (meV/atom) = 17
- volume (Å³/cell) = 61.4
- VASP energy (eV per cell) = -27.8
- DOS(E_F) (states/eV per atom) = 0.08

=====

# Ta2VPd

A relaxed Ta2VPd crystal (PBE, Alexandria).

Unit cell a=2.837 b=2.837 c=9.941 alpha=81.80 beta=81.80 gamma=60.00
Sites, in units of the cell vectors:
V1 0.000 0.000 0.000
Pd1 0.500 0.500 0.500
Ta1 0.087 0.087 0.738
Ta2 0.913 0.913 0.262

- ΔE_f (meV/atom) = 307
- volume (Å³/cell) = 68.3
- VASP energy (eV per cell) = -36.8
- DOS(E_F) (states/eV per atom) = 0.93

=====

# KTe3Pt

A relaxed KTe3Pt crystal (PBE, Alexandria).

Unit cell a=5.469 b=5.469 c=5.469 alpha=90.00 beta=90.00 gamma=90.00
Sites, in units of the cell vectors:
K1 0.500 0.500 0.500
Te1 0.000 0.500 0.000
Te2 0.000 0.000 0.500
Te3 0.500 0.000 0.000
Pt1 0.000 0.000 0.000

- volume (Å³/cell) = 163.5
- VASP energy (eV per cell) = -17.4
- raw formation energy (meV per atom) = -177
- DOS(E_F) (states/eV per atom) = 1.12